(1)
ZnSb2Br: optimized geometry, GGA-PBEsol.

- Calculated volume: 22.95 Å³ per atom
- ΔE_f (raw): 0.2238 eV/atom
- Crystal system: cubic

Cell: 5.064 5.064 5.064 Å, 60.00 60.00 60.00°
Fractional positions:
Sb1 0.750 0.750 0.750
Sb2 0.250 0.250 0.250
Zn1 0.500 0.500 0.500
Br1 0.000 0.000 0.000

---

(2)
ZrSbBr: optimized geometry, GGA-PBEsol.

- Calculated volume: 25.00 Å³ per atom
- ΔE_f (raw): 0.1609 eV/atom
- Crystal system: cubic

Cell: 4.734 4.734 4.734 Å, 60.00 60.00 60.00°
Fractional positions:
Br1 0.250 0.250 0.250
Sb1 0.000 0.000 0.000
Zr1 0.500 0.500 0.500

---

(3)
ScBr3: optimized geometry, GGA-PBEsol.

- Calculated volume: 30.67 Å³ per atom
- ΔE_f (raw): -1.6372 eV/atom
- Crystal system: orthorhombic

Cell: 3.474 6.627 6.511 Å, 120.59 105.47 90.00°
Fractional positions:
Br1 0.337 0.280 0.675
Br2 0.663 0.606 0.325
Br3 0.500 0.990 0.000
Sc1 0.000 0.291 0.000

---

(4)
ScBr3: optimized geometry, GGA-PBEsol.

- Calculated volume: 24.03 Å³ per atom
- ΔE_f (raw): -0.6121 eV/atom
- Crystal system: orthorhombic

Cell: 4.431 4.431 4.978 Å, 90.00 90.00 100.42°
Fractional positions:
Br1 0.000 0.500 0.500
Br2 0.500 0.000 0.500
Br3 0.500 0.500 0.000
Sc1 0.000 0.000 0.000

---

(5)
ScBr: optimized geometry, GGA-PBEsol.

- Calculated volume: 25.79 Å³ per atom
- ΔE_f (raw): -1.1526 eV/atom
- Crystal system: trigonal

Cell: 3.538 3.538 28.555 Å, 90.00 90.00 120.00°
Fractional positions:
Sc1 0.667 0.333 0.377
Sc2 0.000 0.000 0.290
Sc3 0.667 0.333 0.956
Sc4 0.333 0.667 0.044
Sc5 0.333 0.667 0.623
Sc6 0.000 0.000 0.710
Br1 0.000 0.000 0.894
Br2 0.667 0.333 0.772
Br3 0.333 0.667 0.439
Br4 0.667 0.333 0.561
Br5 0.333 0.667 0.228
Br6 0.000 0.000 0.106

---

(6)
Sc5Br: optimized geometry, GGA-PBEsol.

- Calculated volume: 25.24 Å³ per atom
- ΔE_f (raw): 0.2979 eV/atom
- Crystal system: cubic

Cell: 5.983 5.983 5.983 Å, 60.00 60.00 60.00°
Fractional positions:
Sc1 0.622 0.133 0.622
Sc2 0.250 0.250 0.250
Sc3 0.622 0.622 0.133
Sc4 0.133 0.622 0.622
Sc5 0.622 0.622 0.622
Br1 0.000 0.000 0.000